Entry 1:
A relaxed structure of SrZn3I, computed with GGA-PBE.

Computed properties:
- size of the total moment (μB/cell) = 0.000
- space-group type = Pm-3m, No. 221
- energy above the lowest structure with this stoichiometry (eV/f.u.) = 0.00
- raw formation energy (eV/atom) = 0.3947

Lattice parameters (Å, degrees): 6.3007 6.3007 6.3007 90.00 90.00 90.00
With the nearest neighbours (Å) after each atom.
Atoms (fractional coordinates):
I (0.5000, 0.5000, 0.5000)  12 Zn 4.46
Sr (0.0000, 0.0000, 0.0000)  6 Zn 3.15
Zn (0.0000, 0.5000, 0.0000)  2 Sr 3.15
Zn (0.0000, 0.0000, 0.5000)  2 Sr 3.15
Zn (0.5000, 0.0000, 0.0000)  2 Sr 3.15

***

Entry 2:
A relaxed structure of CaSb, computed with GGA-PBE.

Computed properties:
- size of the total moment (μB/cell) = 0.000
- space-group type = R-3m, No. 166
- raw formation energy (eV/atom) = -0.7796

Lattice parameters (Å, degrees): 3.9518 3.9518 3.9518 81.13 81.13 81.13
With the nearest neighbours (Å) after each atom.
Atoms (fractional coordinates):
Sb (0.5000, 0.5000, 0.5000)  6 Ca 3.24
Ca (0.0000, 0.0000, 0.0000)  6 Sb 3.24

***

Entry 3:
A relaxed structure of Ag2Bi2I, computed with GGA-PBE.

Computed properties:
- size of the total moment (μB/cell) = 0.000
- space-group type = P4/mbm, No. 127
- energy above the lowest structure with this stoichiometry (eV/f.u.) = 0.15
- raw formation energy (eV/atom) = 0.1659

Lattice parameters (Å, degrees): 8.7945 8.7945 3.5914 90.00 90.00 90.00
With the nearest neighbours (Å) after each atom.
Atoms (fractional coordinates):
I (0.0000, 0.0000, 0.0000)  4 Ag 3.30, 2 I 3.59
I (0.5000, 0.5000, 0.0000)  4 Ag 3.30, 2 I 3.59
Bi (0.1287, 0.6287, 0.5000)  6 Ag 3.13-3.17, 1 Bi 3.20
Bi (0.6287, 0.8713, 0.5000)  6 Ag 3.13-3.17, 1 Bi 3.20
Bi (0.8713, 0.3713, 0.5000)  6 Ag 3.13-3.17, 1 Bi 3.20
Bi (0.3713, 0.1287, 0.5000)  6 Ag 3.13-3.17, 1 Bi 3.20
Ag (0.3388, 0.8388, 0.0000)  6 Bi 3.13-3.17, 2 I 3.30
Ag (0.8388, 0.6612, 0.0000)  6 Bi 3.13-3.17, 2 I 3.30
Ag (0.6612, 0.1612, 0.0000)  6 Bi 3.13-3.17, 2 I 3.30
Ag (0.1612, 0.3388, 0.0000)  6 Bi 3.13-3.17, 2 I 3.30

***

Entry 4:
A relaxed structure of ThMg5Cu2, computed with GGA-PBE.

Computed properties:
- size of the total moment (μB/cell) = 0.000
- space-group type = Immm, No. 71
- calculated formation energy (eV per atom) = -0.0661

Lattice parameters (Å, degrees): 3.9575 6.8910 6.8910 74.67 73.31 73.31
With the nearest neighbours (Å) after each atom.
Atoms (fractional coordinates):
Th (0.0000, 0.0000, 0.0000)  4 Cu 3.03
Mg (0.0000, 0.5000, 0.5000)  2 Cu 2.82, 8 Mg 2.99
Mg (0.6555, 0.5345, 0.1546)  3 Cu 2.69-2.82, 4 Mg 2.94-2.99
Mg (0.3445, 0.4655, 0.8454)  3 Cu 2.69-2.82, 4 Mg 2.94-2.99
Mg (0.3445, 0.8454, 0.4655)  3 Cu 2.69-2.82, 4 Mg 2.94-2.99
Mg (0.6555, 0.1546, 0.5345)  3 Cu 2.69-2.82, 4 Mg 2.94-2.99
Cu (0.7241, 0.7759, 0.7759)  7 Mg 2.69-2.82
Cu (0.2759, 0.2241, 0.2241)  7 Mg 2.69-2.82

***

What is the formula in the first record? SrZn3I

***

What did the fourth record say?
A relaxed structure of ThMg5Cu2, computed with GGA-PBE.

Computed properties:
- size of the total moment (μB/cell) = 0.000
- space-group type = Immm, No. 71
- calculated formation energy (eV per atom) = -0.0661

Lattice parameters (Å, degrees): 3.9575 6.8910 6.8910 74.67 73.31 73.31
With the nearest neighbours (Å) after each atom.
Atoms (fractional coordinates):
Th (0.0000, 0.0000, 0.0000)  4 Cu 3.03
Mg (0.0000, 0.5000, 0.5000)  2 Cu 2.82, 8 Mg 2.99
Mg (0.6555, 0.5345, 0.1546)  3 Cu 2.69-2.82, 4 Mg 2.94-2.99
Mg (0.3445, 0.4655, 0.8454)  3 Cu 2.69-2.82, 4 Mg 2.94-2.99
Mg (0.3445, 0.8454, 0.4655)  3 Cu 2.69-2.82, 4 Mg 2.94-2.99
Mg (0.6555, 0.1546, 0.5345)  3 Cu 2.69-2.82, 4 Mg 2.94-2.99
Cu (0.7241, 0.7759, 0.7759)  7 Mg 2.69-2.82
Cu (0.2759, 0.2241, 0.2241)  7 Mg 2.69-2.82

***

What is the size of the total moment in the first record? 0.000 μB/cell

***

What did the second record say?
A relaxed structure of CaSb, computed with GGA-PBE.

Computed properties:
- size of the total moment (μB/cell) = 0.000
- space-group type = R-3m, No. 166
- raw formation energy (eV/atom) = -0.7796

Lattice parameters (Å, degrees): 3.9518 3.9518 3.9518 81.13 81.13 81.13
With the nearest neighbours (Å) after each atom.
Atoms (fractional coordinates):
Sb (0.5000, 0.5000, 0.5000)  6 Ca 3.24
Ca (0.0000, 0.0000, 0.0000)  6 Sb 3.24